[1]
Mg2InSi, optimized geometry, DFT PBE; magnetic moment = 0.0 μB per formula unit; uncorrected formation energy = 0.44 eV/f.u.; VASP energy = -2.73 eV per atom
1.0
-0.4025 -0.3764 3.2551
3.3499 -2.6553 0.1072
3.6577 4.6545 0.9906
In Si Mg
1 1 2
Direct
0.5000 0.5000 0.7537
0.0000 0.0000 0.4765
0.5000 0.5000 0.2735
0.0000 0.0000 0.9963


[2]
Mg2InSi, optimized geometry, DFT PBE; magnetic moment = 0.0 μB per formula unit; uncorrected formation energy = 0.16 eV/f.u.; VASP energy = -2.80 eV per atom
1.0
-0.1990 -2.7784 1.5609
3.6315 0.5995 1.5303
-2.6276 3.0255 5.0503
Si In Mg
1 1 2
Direct
0.5000 0.5000 0.2500
0.5000 0.5000 0.7500
0.0000 0.0000 0.0256
0.0000 0.0000 0.4744


[3]
Mg2InSi, optimized geometry, DFT PBE; magnetic moment = 0.0 μB per formula unit; uncorrected formation energy = 0.82 eV/f.u.; VASP energy = -2.63 eV per atom
1.0
4.9622 0.0000 0.0000
2.4811 4.2974 0.0000
2.4811 1.4325 4.0516
Mg In Si
2 1 1
Direct
0.2500 0.2500 0.2500
0.0000 0.0000 0.0000
0.5000 0.5000 0.5000
0.7500 0.7500 0.7500


[4]
Mg2InSi, optimized geometry, DFT PBE; magnetic moment = 0.0 μB per formula unit; uncorrected formation energy = 0.21 eV/f.u.; VASP energy = -2.78 eV per atom
1.0
-4.2881 -2.9322 -0.3836
0.2271 -3.3463 3.9855
0.3888 5.1939 -0.0704
Mg Si In
2 1 1
Direct
0.5040 0.5040 0.0000
0.9960 0.9960 0.0000
0.7500 0.2500 0.5000
0.2500 0.7500 0.5000


[5]
Mg2InSi, optimized geometry, DFT PBE; magnetic moment = 0.0 μB per formula unit; uncorrected formation energy = 0.19 eV/f.u.; VASP energy = -2.79 eV per atom
1.0
-1.7799 3.9541 -2.7441
-3.0033 -0.1263 4.1591
2.0367 1.9792 1.5308
In Si Mg
1 1 2
Direct
0.0000 0.5000 0.5000
0.5000 0.0000 0.5000
0.5000 0.5000 0.0000
0.0000 0.0000 0.0000


[6]
Mg2InSi, optimized geometry, DFT PBE; magnetic moment = 0.0 μB per formula unit; uncorrected formation energy = 0.17 eV/f.u.; VASP energy = -2.80 eV per atom
1.0
4.3978 0.0000 0.0000
2.1989 3.8086 0.0000
2.1989 1.2695 5.6566
Si In Mg
1 1 2
Direct
0.6645 0.6645 0.0064
0.4989 0.4989 0.5034
0.2761 0.2761 0.1716
0.0605 0.0605 0.8186


[7]
MgInSi4, optimized geometry, DFT PBE; magnetic moment = 0.0 μB per formula unit; uncorrected formation energy = 1.97 eV/f.u.; VASP energy = -4.01 eV per atom
1.0
0.0000 3.7460 3.7460
3.7460 0.0000 3.7460
3.7460 3.7460 0.0000
In Si Mg
1 4 1
Direct
0.7500 0.7500 0.7500
0.3728 0.3728 0.8817
0.8817 0.3728 0.3728
0.3728 0.3728 0.3728
0.3728 0.8817 0.3728
0.0000 0.0000 0.0000


[8]
Mg2InSi, optimized geometry, DFT PBE; magnetic moment = 0.0 μB per formula unit; uncorrected formation energy = 0.21 eV/f.u.; VASP energy = -2.79 eV per atom
1.0
5.0046 0.0422 0.0316
3.9278 3.1016 0.0316
1.2019 0.4230 5.4442
Si In Mg
1 1 2
Direct
0.7500 0.7500 0.7500
0.2500 0.2500 0.2500
0.4879 0.4879 0.5157
0.0121 0.0121 0.9843


[9]
Mg2InSi, optimized geometry, DFT PBE; magnetic moment = 0.0 μB per formula unit; uncorrected formation energy = 0.22 eV/f.u.; VASP energy = -2.78 eV per atom
1.0
-2.8789 5.5078 6.4597
-5.2708 5.9638 4.1235
-5.4712 3.3570 6.2569
Mg Si In
2 1 1
Direct
0.5107 0.5107 0.5107
0.9893 0.9893 0.9893
0.2500 0.2500 0.2500
0.7500 0.7500 0.7500


[10]
Mg2InSi, optimized geometry, DFT PBE; magnetic moment = 0.0 μB per formula unit; uncorrected formation energy = 0.03 eV/f.u.; VASP energy = -2.83 eV per atom
1.0
-1.3443 -0.7196 2.7830
-1.5245 -2.3682 -1.4621
6.1939 -5.0312 1.6910
In Mg Si
1 2 1
Direct
0.5000 0.5000 0.7500
0.0000 0.0000 0.0290
0.0000 0.0000 0.4710
0.5000 0.5000 0.2500


[11]
Mg2InSi, optimized geometry, DFT PBE; magnetic moment = 0.0 μB per formula unit; uncorrected formation energy = 0.26 eV/f.u.; VASP energy = -2.77 eV per atom
1.0
-2.2766 -1.6182 -4.7321
-4.2106 -3.4782 0.6061
1.3534 4.8584 2.1814
Mg In Si
2 1 1
Direct
0.9999 0.9999 0.0000
0.7499 0.2499 0.5000
0.2502 0.7502 0.5000
0.4999 0.4999 0.0000


[12]
Mg2InSi2, optimized geometry, DFT PBE; magnetic moment = 0.0 μB per formula unit; uncorrected formation energy = 0.36 eV/f.u.; VASP energy = -3.28 eV per atom
1.0
-3.3295 0.7641 2.9454
2.3236 -2.1804 3.1924
1.8344 3.9006 4.5154
In Si Mg
1 2 2
Direct
0.0000 0.0000 0.0000
0.6066 0.6066 0.7868
0.3934 0.3934 0.2132
0.7500 0.2500 0.5000
0.2500 0.7500 0.5000


[13]
MgTi2InSi, optimized geometry, DFT PBE; magnetic moment = 0.0 μB per formula unit; uncorrected formation energy = 6.18 eV/f.u.; VASP energy = -3.87 eV per atom
1.0
-0.8357 -3.9240 2.6948
4.5776 0.1469 1.6336
-1.3997 2.8176 3.6687
Ti Si Mg In
2 1 1 1
Direct
0.5000 0.0000 0.0000
0.0000 0.0000 0.5000
0.5000 0.5000 0.5000
0.0000 0.0000 0.0000
0.0000 0.5000 0.0000


[14]
MgTiIn2Si, optimized geometry, DFT PBE; magnetic moment = 1.6 μB per formula unit; uncorrected formation energy = 4.94 eV/f.u.; VASP energy = -3.09 eV per atom
1.0
5.2919 0.0000 0.0000
0.0000 5.3145 0.0000
0.0000 0.0000 5.2919
Mg In Si Ti
1 2 1 1
Direct
0.0000 0.5000 0.0000
0.5000 0.0000 0.0000
0.0000 0.0000 0.5000
0.5000 0.5000 0.5000
0.0000 0.0000 0.0000


[15]
YMg2InSi, optimized geometry, DFT PBE; magnetic moment = 0.0 μB per formula unit; uncorrected formation energy = 2.53 eV/f.u.; VASP energy = -3.06 eV per atom
1.0
5.0678 0.0000 0.0000
0.0000 5.8373 0.0000
0.0000 0.0000 5.0678
In Mg Si Y
1 2 1 1
Direct
0.0000 0.0000 0.0000
0.0000 0.0000 0.5000
0.5000 0.0000 0.0000
0.5000 0.5000 0.5000
0.0000 0.5000 0.0000


[16]
SmMg2In, optimized geometry, DFT PBE; ΔE to the lowest computed polymorph = 0.00 eV/f.u.; magnetic moment = 0.0 μB per formula unit; VASP energy = -2.95 eV per atom
1.0
4.8673 0.0000 0.0000
0.0000 4.5735 0.0000
0.0000 0.0000 4.5735
Sm In Mg
1 1 2
Direct
0.5000 0.5000 0.5000
0.5000 0.0000 0.0000
0.0000 0.5000 0.0000
0.0000 0.0000 0.5000


[17]
Sm2MgIn, optimized geometry, DFT PBE; magnetic moment = 0.0 μB per formula unit; VASP energy = -3.78 eV per atom
1.0
-4.9210 0.8758 2.0873
-2.9567 -4.1642 1.8047
-0.8379 -0.6245 5.3149
Sm In Mg
2 1 1
Direct
0.5000 0.5000 0.5000
0.0000 0.0000 0.0000
0.2500 0.2500 0.2500
0.7500 0.7500 0.7500


[18]
Sm2Mg3In2, optimized geometry, DFT PBE; magnetic moment = 0.0 μB per formula unit; VASP energy = -3.03 eV per atom
1.0
3.5429 0.0000 0.0000
0.0000 4.7747 0.0000
0.0000 -2.3873 11.1372
Mg In Sm
3 2 2
Direct
0.5000 0.4298 0.8597
0.0000 0.0000 0.0000
0.5000 0.5702 0.1403
0.5000 0.7112 0.4223
0.5000 0.2888 0.5777
0.0000 0.8443 0.6886
0.0000 0.1557 0.3114


[19]
SmMg2In, optimized geometry, DFT PBE; ΔE to the lowest computed polymorph = 0.68 eV/f.u.; magnetic moment = 0.3 μB per formula unit; VASP energy = -2.78 eV per atom
1.0
3.5537 0.0000 0.0000
0.0000 3.5537 0.0000
0.0000 0.0000 8.2120
Sm In Mg
1 1 2
Direct
0.5000 0.5000 0.5000
0.5000 0.5000 0.0000
0.0000 0.0000 0.7804
0.0000 0.0000 0.2196


[20]
Sm6MgIn, optimized geometry, DFT PBE; ΔE to the lowest computed polymorph = 0.00 eV/f.u.; magnetic moment = 0.7 μB per formula unit; VASP energy = -4.21 eV per atom
1.0
4.9628 0.0000 0.0000
0.0000 4.9628 0.0000
0.0000 0.0000 9.9050
Sm In Mg
6 1 1
Direct
0.0000 0.5000 0.7530
0.0000 0.5000 0.2470
0.5000 0.5000 0.0000
0.5000 0.5000 0.5000
0.5000 0.0000 0.2470
0.5000 0.0000 0.7530
0.0000 0.0000 0.0000
0.0000 0.0000 0.5000


[21]
Sm12MgIn6, optimized geometry, DFT PBE; magnetic moment = 0.0 μB per formula unit; VASP energy = -4.03 eV per atom
1.0
8.9149 -0.7205 -0.8631
-2.0637 8.7026 -0.8631
-2.0637 -2.4043 8.4083
In Sm Mg
6 12 1
Direct
0.3553 0.2451 0.6596
0.3404 0.6447 0.7549
0.2451 0.6596 0.3553
0.6596 0.3553 0.2451
0.6447 0.7549 0.3404
0.7549 0.3404 0.6447
0.6573 0.9649 0.1121
0.5914 0.9346 0.6792
0.4086 0.0654 0.3208
0.3427 0.0351 0.8879
0.0351 0.8879 0.3427
0.0654 0.3208 0.4086
0.8879 0.3427 0.0351
0.6792 0.5914 0.9346
0.1121 0.6573 0.9649
0.9346 0.6792 0.5914
0.9649 0.1121 0.6573
0.3208 0.4086 0.0654
0.0000 0.0000 0.0000


[22]
Sm5Mg2In, optimized geometry, DFT PBE; ΔE to the lowest computed polymorph = 0.53 eV/f.u.; magnetic moment = 0.0 μB per formula unit; VASP energy = -3.75 eV per atom
1.0
-6.7982 4.2712 0.4605
-1.0773 -2.5295 7.5573
7.9050 5.1649 -1.4231
Sm Mg In
10 4 2
Direct
0.5027 0.6788 0.6816
0.9973 0.4973 0.3184
0.6788 0.1788 0.6816
0.0027 0.5027 0.6816
0.0000 0.0000 0.0000
0.4973 0.3212 0.3184
0.1788 0.0027 0.6816
0.3212 0.8212 0.3184
0.8212 0.9973 0.3184
0.5000 0.5000 0.0000
0.3727 0.8727 0.0000
0.8727 0.6273 0.0000
0.6273 0.1273 0.0000
0.1273 0.3727 0.0000
0.7500 0.7500 0.5000
0.2500 0.2500 0.5000


[23]
SmMg2In2, optimized geometry, DFT PBE; ΔE to the lowest computed polymorph = 0.00 eV/f.u.; magnetic moment = 0.0 μB per formula unit; VASP energy = -2.80 eV per atom
1.0
6.4830 0.0000 0.0000
0.0000 5.0048 0.0000
0.0000 -2.5024 4.3343
Sm In Mg
1 2 2
Direct
0.0000 0.0000 0.0000
0.7902 0.6667 0.3333
0.2098 0.3333 0.6667
0.3257 0.6667 0.3333
0.6744 0.3333 0.6667


[24]
SmMg6In6, optimized geometry, DFT PBE; magnetic moment = 0.0 μB per formula unit; VASP energy = -2.51 eV per atom
1.0
-5.4125 1.0680 -2.4584
-5.6445 0.8423 5.3738
-1.6564 7.6486 -0.4498
Mg In Sm
6 6 1
Direct
0.5000 0.7531 0.2469
0.0000 0.0000 0.5000
0.5000 0.5000 0.0000
0.5000 0.0000 0.5000
0.0000 0.5000 0.0000
0.5000 0.2469 0.7531
0.6636 0.8364 0.8364
0.3364 0.1636 0.1636
0.3354 0.6646 0.6646
0.0000 0.6525 0.3475
0.6646 0.3354 0.3354
0.0000 0.3475 0.6525
0.0000 0.0000 0.0000


[25]
Sm3Mg4In4, optimized geometry, DFT PBE; magnetic moment = 0.0 μB per formula unit; VASP energy = -3.22 eV per atom
1.0
4.7739 0.0000 0.0000
0.0000 7.5814 0.0000
-2.3870 -3.7907 7.8774
In Mg Sm
4 4 3
Direct
0.2156 0.7156 0.4313
0.7844 0.2844 0.5687
0.5000 0.8059 0.0000
0.5000 0.1941 0.0000
0.3281 0.5240 0.6562
0.6719 0.8678 0.3438
0.3281 0.1322 0.6562
0.6719 0.4760 0.3438
0.1206 0.1206 0.2412
0.0000 0.5000 0.0000
0.8794 0.8794 0.7588


[26]
Sm5MgIn2, optimized geometry, DFT PBE; magnetic moment = 0.0 μB per formula unit; VASP energy = -4.02 eV per atom
1.0
-1.9648 -4.2507 0.6662
6.0035 0.0500 1.2338
-3.4804 4.2358 16.7630
Sm In Mg
10 4 2
Direct
0.0415 0.0830 0.0983
0.3402 0.6803 0.0421
0.4592 0.9183 0.2500
0.0415 0.0830 0.4017
0.3402 0.6803 0.4579
0.6598 0.3197 0.9579
0.6598 0.3197 0.5421
0.5409 0.0817 0.7500
0.9585 0.9170 0.9017
0.9585 0.9170 0.5983
0.2470 0.4940 0.8436
0.7530 0.5060 0.3436
0.7530 0.5060 0.1564
0.2470 0.4940 0.6564
0.8211 0.6422 0.7500
0.1789 0.3578 0.2500